PBE-GGA LiIrRu, optimized geometry; formation enthalpy at 0 K = 0.42 eV/f.u.; volume = 44 Å³/f.u.; total magnetic moment = 0.0 μB per formula unit; final energy = -6.543 eV/atom
1.0
-4.061 1.313 0.728
1.077 -1.676 -3.844
-1.278 -4.952 1.801
Ru Ir Li
2 2 2
Direct
0.333 0.667 0.210
0.333 0.667 0.790
0.000 0.000 0.249
0.000 0.000 0.751
0.667 0.333 0.000
0.667 0.333 0.500